1.
Below is a relaxed structure of ErInCu, with properties calculated at the GGA-PBE level.

a = 4.7179 Å, b = 4.6214 Å, c = 7.6326 Å
α = 108.01°, β = 90.00°, γ = 120.69°
Fractional coordinates of all 6 atoms:
Er 0.7339 0.4678 0.2154
Er 0.2661 0.5322 0.7846
In 0.5000 0.0000 0.5000
In 0.0000 0.0000 0.0000
Cu 0.1270 0.2540 0.3874
Cu 0.8730 0.7460 0.6126

Its formation energy from the elements is -0.253 eV per atom. The calculation puts the density of states at the Fermi level at 0.76 states/eV per atom. Its total energy is -12.16 eV per formula unit.

2.
Below is a relaxed structure of NiAg3, with properties calculated at the GGA-PBE level.

a = 2.8374 Å, b = 2.8374 Å, c = 9.3462 Å
α = 90.00°, β = 90.00°, γ = 120.00°
Fractional coordinates of all 4 atoms:
Ag 0.0000 0.0000 0.9818
Ag 0.0000 0.0000 0.5182
Ag 0.3333 0.6667 0.2500
Ni 0.3333 0.6667 0.7500

Its formation energy from the elements is 0.192 eV per atom. The calculation puts the density of states at the Fermi level at 0.60 states/eV per atom. Its total energy is -13.57 eV per formula unit.

3.
Below is a relaxed structure of Pm3Dy2Ho6Tl, with properties calculated at the GGA-PBE level.

a = 6.1258 Å, b = 6.1258 Å, c = 11.6562 Å
α = 95.06°, β = 95.06°, γ = 120.01°
Fractional coordinates of all 12 atoms:
Pm 0.1669 0.8331 0.5000
Pm 0.8331 0.1669 0.5000
Pm 0.5000 0.5000 0.5000
Dy 0.3337 0.6663 0.0000
Dy 0.6663 0.3337 0.0000
Ho 0.9194 0.5908 0.7555
Ho 0.7519 0.7519 0.2457
Ho 0.0806 0.4092 0.2445
Ho 0.5908 0.9194 0.7555
Ho 0.2481 0.2481 0.7543
Ho 0.4092 0.0806 0.2445
Tl 0.0000 0.0000 0.0000

Its formation energy from the elements is -0.013 eV per atom. The calculation puts the density of states at the Fermi level at 1.40 states/eV per atom. Its total energy is -53.45 eV per formula unit.

4.
Below is a relaxed structure of CaMg2, with properties calculated at the GGA-PBE level.

a = 3.5225 Å, b = 3.5225 Å, c = 16.3567 Å
α = 90.00°, β = 90.00°, γ = 120.00°
Fractional coordinates of all 6 atoms:
Ca 0.6667 0.3333 0.1010
Ca 0.3333 0.6667 0.8990
Mg 0.3333 0.6667 0.2733
Mg 0.6667 0.3333 0.4255
Mg 0.3333 0.6667 0.5745
Mg 0.6667 0.3333 0.7267

Its formation energy from the elements is 0.089 eV per atom. The calculation puts the density of states at the Fermi level at 0.82 states/eV per atom. Its total energy is -4.92 eV per formula unit.

5.
Below is a relaxed structure of DyY2Sb, with properties calculated at the GGA-PBE level.

a = 3.9744 Å, b = 3.9744 Å, c = 9.9631 Å
α = 78.49°, β = 78.49°, γ = 60.00°
Fractional coordinates of all 4 atoms:
Y 0.2664 0.2664 0.2009
Y 0.7336 0.7336 0.7991
Sb 0.0000 0.0000 0.0000
Dy 0.5000 0.5000 0.5000

The calculation puts the density of states at the Fermi level at 1.27 states/eV per atom. Its total energy is -22.90 eV per formula unit.

6.
Below is a relaxed structure of NdHPb, with properties calculated at the GGA-PBE level.

a = 3.3471 Å, b = 3.3471 Å, c = 6.4514 Å
α = 105.04°, β = 105.04°, γ = 90.00°
Fractional coordinates of all 3 atoms:
Pb 0.0064 0.0064 0.0129
H 0.2673 0.2673 0.5347
Nd 0.7262 0.7262 0.4524

The calculation puts the density of states at the Fermi level at 0.50 states/eV per atom. Its total energy is -12.73 eV per formula unit.

7.
Below is a relaxed structure of K2MgH2Br2, with properties calculated at the GGA-PBE level.

a = 4.4059 Å, b = 4.4059 Å, c = 8.8544 Å
α = 104.41°, β = 104.41°, γ = 90.00°
Fractional coordinates of all 7 atoms:
K 0.3768 0.3768 0.7536
K 0.6232 0.6232 0.2464
Mg 0.0000 0.0000 0.0000
H 0.0000 0.5000 0.0000
H 0.5000 0.0000 0.0000
Br 0.1616 0.1616 0.3232
Br 0.8384 0.8384 0.6768

The calculation puts the density of states at the Fermi level at 0.00 states/eV per atom. Its total energy is -20.55 eV per formula unit.

8.
Below is a relaxed structure of Sc2SnTeBr, with properties calculated at the GGA-PBE level.

a = 5.0559 Å, b = 5.7022 Å, c = 5.0559 Å
α = 90.00°, β = 90.00°, γ = 90.00°
Fractional coordinates of all 5 atoms:
Sc 0.0000 0.0000 0.5000
Sc 0.5000 0.0000 0.0000
Te 0.5000 0.5000 0.5000
Sn 0.0000 0.5000 0.0000
Br 0.0000 0.0000 0.0000

The calculation puts the density of states at the Fermi level at 1.41 states/eV per atom. Its total energy is -20.88 eV per formula unit.

9.
Below is a relaxed structure of Cs2VS4, with properties calculated at the GGA-PBE level.

a = 5.4800 Å, b = 7.7820 Å, c = 12.6875 Å
α = 95.96°, β = 90.00°, γ = 90.00°
Fractional coordinates of all 14 atoms:
Cs 0.2500 0.2308 0.8986
Cs 0.7500 0.7692 0.1014
Cs 0.7500 0.7559 0.5114
Cs 0.2500 0.2441 0.4886
V 0.2500 0.6973 0.7593
V 0.7500 0.3027 0.2407
S 0.5277 0.5017 0.7078
S 0.2500 0.7674 0.9256
S 0.7500 0.2326 0.0744
S 0.9723 0.5017 0.7078
S 0.7500 0.0848 0.3316
S 0.0277 0.4983 0.2922
S 0.4723 0.4983 0.2922
S 0.2500 0.9152 0.6684

The calculation puts the density of states at the Fermi level at 0.21 states/eV per atom. Its total energy is -34.18 eV per formula unit.

10.
Below is a relaxed structure of Pm3AlZn3, with properties calculated at the GGA-PBE level.

a = 4.5447 Å, b = 5.7688 Å, c = 14.1255 Å
α = 85.45°, β = 80.74°, γ = 66.80°
Fractional coordinates of all 14 atoms:
Pm 0.5426 0.3001 0.6147
Pm 0.4574 0.6999 0.3853
Pm 0.2390 0.2935 0.2285
Pm 0.7610 0.7065 0.7715
Pm 0.3950 0.2877 0.9222
Pm 0.6050 0.7123 0.0778
Al 0.7493 0.1054 0.3960
Al 0.2507 0.8946 0.6040
Zn 0.8692 0.7221 0.5394
Zn 0.1308 0.2779 0.4606
Zn 0.1051 0.8662 0.9237
Zn 0.8949 0.1338 0.0763
Zn 0.9466 0.8729 0.2339
Zn 0.0534 0.1271 0.7661

Its formation energy from the elements is -0.325 eV per atom. The calculation puts the density of states at the Fermi level at 0.87 states/eV per atom. Its total energy is -24.09 eV per formula unit.

11.
Below is a relaxed structure of LiScTc2Mo, with properties calculated at the GGA-PBE level.

a = 4.4162 Å, b = 3.8705 Å, c = 4.4162 Å
α = 90.00°, β = 90.00°, γ = 90.00°
Fractional coordinates of all 5 atoms:
Sc 0.0000 0.5000 0.0000
Mo 0.5000 0.5000 0.5000
Tc 0.0000 0.0000 0.5000
Tc 0.5000 0.0000 0.0000
Li 0.0000 0.0000 0.0000

Its formation energy from the elements is 1.011 eV per atom. The calculation puts the density of states at the Fermi level at 0.70 states/eV per atom. Its total energy is -34.75 eV per formula unit.

12.
Below is a relaxed structure of Hf2TaGe6, with properties calculated at the GGA-PBE level.

a = 5.0697 Å, b = 5.0827 Å, c = 6.9796 Å
α = 90.00°, β = 90.00°, γ = 119.92°
Fractional coordinates of all 9 atoms:
Hf 0.0000 0.5000 0.6659
Hf 0.5000 0.5000 0.3341
Ta 0.5000 0.0000 0.0000
Ge 0.8336 0.6672 0.0000
Ge 0.3267 0.1624 0.6701
Ge 0.8356 0.1624 0.3299
Ge 0.1664 0.3328 0.0000
Ge 0.6733 0.8376 0.6701
Ge 0.1644 0.8376 0.3299

Its formation energy from the elements is -0.379 eV per atom. The calculation puts the density of states at the Fermi level at 0.34 states/eV per atom. Its total energy is -62.87 eV per formula unit.